Below is crystalline TcRuPt2 at its relaxed geometry, with properties calculated at the PBE level.

Unit cell a=5.633 b=5.633 c=6.831 alpha=65.65 beta=65.65 gamma=90.00
Sites, in units of the cell vectors:
1 Ru 0.000 0.000 0.000
2 Pt 0.623 0.125 0.250
3 Pt 0.875 0.873 0.750
4 Pt 0.375 0.377 0.750
5 Ru 0.750 0.250 0.500
6 Tc 0.500 0.500 0.000
7 Tc 0.250 0.750 0.500
8 Pt 0.127 0.625 0.250

## Properties
As for the crystal system: tetragonal.

=====

Below is crystalline TcRuPt2 at its relaxed geometry, with properties calculated at the PBE level.

Unit cell a=4.802 b=4.802 c=4.798 alpha=80.79 beta=80.79 gamma=33.00
Sites, in units of the cell vectors:
1 Pt 0.753 0.753 0.746
2 Tc 0.247 0.247 0.259
3 Pt 0.997 0.997 0.005
4 Ru 0.503 0.503 0.490

## Properties
As for the crystal system: monoclinic.

=====

How do the records compare in ΔE_f? In the order shown, they have 1.016; -0.069 eV/atom.
How do the records compare in relative energy among the computed polymorphs? In the order shown, they have 1130; 45 meV/atom.